Pt2AuF | Alexandria via LeMat-Bulk | PBE | optimized geometry; formation energy from raw total energies = 0.26 eV/atom; E = -4.05 eV per atom; magnetic moment = 0.000 μB/atom
1.0
-3.456 3.456 2.666
3.456 -3.456 2.666
3.456 3.456 -2.666
Pt Au F
4 2 2
Direct
0.091 0.625 0.966
0.375 0.341 0.466
0.659 0.125 0.034
0.875 0.909 0.534
0.250 0.750 0.500
0.500 0.500 0.000
0.000 0.000 0.000
0.750 0.250 0.500